The following is a DFT calculation (PBE-GGA) of crystalline CsSmPbS3 at its relaxed geometry.

a b c (Å): 16.1308 4.1614 12.3726
angles (deg): 90.00 90.00 90.00
Last column: nearest neighbours and their distance in Å.
Atoms (fractional coordinates):
S 0.5910 0.2500 0.5465  3 Sm 2.74-2.81
Cs 0.7626 0.7500 0.5903  5 S 3.49-3.74
S 0.3747 0.2500 0.1921  2 Pb 2.71, 1 Sm 2.89
S 0.4090 0.7500 0.4535  3 Sm 2.74-2.81
S 0.0821 0.7500 0.2606  1 Pb 2.63, 2 Sm 2.87
Pb 0.5430 0.2500 0.8976  3 S 2.63-2.71
S 0.4179 0.2500 0.7606  1 Pb 2.63, 2 Sm 2.87
S 0.6253 0.7500 0.8079  2 Pb 2.71, 1 Sm 2.89
Sm 0.0005 0.2500 0.1412  6 S 2.74-2.89
Cs 0.2626 0.7500 0.9097  5 S 3.49-3.74
Cs 0.2374 0.2500 0.4097  5 S 3.49-3.74
Pb 0.0430 0.2500 0.6024  3 S 2.63-2.71
Pb 0.9570 0.7500 0.3976  3 S 2.63-2.71
S 0.9179 0.2500 0.7394  1 Pb 2.63, 2 Sm 2.87
Pb 0.4570 0.7500 0.1024  3 S 2.63-2.71
S 0.0910 0.2500 0.9535  3 Sm 2.74-2.81
Sm 0.9995 0.7500 0.8588  6 S 2.74-2.89
S 0.1253 0.7500 0.6921  2 Pb 2.71, 1 Sm 2.89
Sm 0.4995 0.7500 0.6412  6 S 2.74-2.89
S 0.8747 0.2500 0.3079  2 Pb 2.71, 1 Sm 2.89
S 0.9090 0.7500 0.0465  3 Sm 2.74-2.81
Cs 0.7374 0.2500 0.0903  5 S 3.49-3.74
S 0.5821 0.7500 0.2394  1 Pb 2.63, 2 Sm 2.87
Sm 0.5005 0.2500 0.3588  6 S 2.74-2.89

Output
- M_tot (μB/cell) = 0.0
- excess energy over the best structure of this formula in the dataset (eV per formula unit) = 0.00